## POsCl2 (PBE)

Data for POsCl2 after structural relaxation.

a b c (Å): 2.9299 2.9299 9.2542
angles (deg): 90.00 90.00 90.00
Closest atoms and distances in Å follow each position.
Fractional coordinates of all 4 atoms:
Cl 0.5000 0.5000 0.3352  4 Os 2.76, 4 Cl 2.93
Cl 0.0000 0.0000 0.9613  4 Cl 2.93
Os 0.0000 0.0000 0.5324  4 P 2.44
P 0.5000 0.5000 0.6711  4 Os 2.44

Values from the calculation:
**Calculated volume**: 19.86 Å³/atom
**Space-group type**: P4mm (99)
**E above lowest polymorph**: 661 meV per atom
**E_form (uncorrected)**: 0.36 eV/atom
**Total DFT energy (no corrections)**: -4.72 eV/atom
**Calculated density**: 6.106 g/cm3

---

## P2OsCl (PBE)

Data for P2OsCl after structural relaxation.

a b c (Å): 4.3717 4.3717 4.3717
angles (deg): 60.00 60.00 60.00
Closest atoms and distances in Å follow each position.
Fractional coordinates of all 4 atoms:
Cl 0.0000 0.0000 0.0000  8 P 2.68
Os 0.5000 0.5000 0.5000  8 P 2.68
P 0.7500 0.7500 0.7500  4 Cl 2.68, 4 Os 2.68
P 0.2500 0.2500 0.2500  4 Cl 2.68, 4 Os 2.68

Values from the calculation:
**Calculated volume**: 14.77 Å³/atom
**Space-group type**: Fm-3m (225)
**E above lowest polymorph**: 949 meV per atom
**E_form (uncorrected)**: 0.92 eV/atom
**Total DFT energy (no corrections)**: -5.05 eV/atom
**Calculated density**: 8.084 g/cm3

---

## POsCl2 (PBE)

Data for POsCl2 after structural relaxation.

a b c (Å): 2.8869 5.2275 4.2957
angles (deg): 90.00 90.00 90.00
Closest atoms and distances in Å follow each position.
Fractional coordinates of all 4 atoms:
P 0.0000 0.5000 0.5000  4 Cl 2.59, 2 P 2.89
Cl 0.5000 0.5000 0.0000  4 P 2.59, 2 Cl 2.89
Cl 0.0000 0.0000 0.0000  4 Os 2.59, 2 Cl 2.89
Os 0.5000 0.0000 0.5000  4 Cl 2.59, 2 Os 2.89

Values from the calculation:
**Calculated volume**: 16.21 Å³/atom
**Space-group type**: Pmmm (47)
**E above lowest polymorph**: 1352 meV per atom
**E_form (uncorrected)**: 1.05 eV/atom
**Total DFT energy (no corrections)**: -4.03 eV/atom
**Calculated density**: 7.482 g/cm3

---

## POsCl2 (PBE)

Data for POsCl2 after structural relaxation.

a b c (Å): 3.0381 3.0381 11.5849
angles (deg): 90.00 90.00 124.85
Closest atoms and distances in Å follow each position.
Fractional coordinates of all 4 atoms:
P 0.5000 0.5000 0.7500  6 P 2.81-3.04
Cl 0.0000 0.0000 0.0852  2 Os 2.37
Cl 0.0000 0.0000 0.4148  2 Os 2.37
Os 0.5000 0.5000 0.2500  4 Cl 2.37

Values from the calculation:
**Calculated volume**: 21.94 Å³/atom
**Space-group type**: Cmmm (65)
**E above lowest polymorph**: 1024 meV per atom
**E_form (uncorrected)**: 0.72 eV/atom
**Total DFT energy (no corrections)**: -4.36 eV/atom
**Calculated density**: 5.528 g/cm3

---

## P2OsCl (PBE)

Data for P2OsCl after structural relaxation.

a b c (Å): 4.7703 3.5609 3.5609
angles (deg): 90.00 90.00 90.00
Closest atoms and distances in Å follow each position.
Fractional coordinates of all 4 atoms:
P 0.0000 0.5000 0.5000  4 P 2.52
P 0.0000 0.0000 0.0000  4 P 2.52
Os 0.5000 0.0000 0.5000  4 Cl 2.52
Cl 0.5000 0.5000 0.0000  4 Os 2.52

Values from the calculation:
**Calculated volume**: 15.12 Å³/atom
**Space-group type**: P4/mmm (123)
**E above lowest polymorph**: 1146 meV per atom
**E_form (uncorrected)**: 1.12 eV/atom
**Total DFT energy (no corrections)**: -4.85 eV/atom
**Calculated density**: 7.896 g/cm3

---

## POsCl2 (PBE)

Data for POsCl2 after structural relaxation.

a b c (Å): 4.4910 4.4910 4.4910
angles (deg): 60.00 60.00 60.00
Closest atoms and distances in Å follow each position.
Fractional coordinates of all 4 atoms:
Cl 0.7500 0.7500 0.7500  4 Os 2.75, 4 P 2.75
Cl 0.2500 0.2500 0.2500  4 Os 2.75, 4 P 2.75
P 0.0000 0.0000 0.0000  8 Cl 2.75
Os 0.5000 0.5000 0.5000  8 Cl 2.75

Values from the calculation:
**Calculated volume**: 16.01 Å³/atom
**Space-group type**: Fm-3m (225)
**E above lowest polymorph**: 1732 meV per atom
**E_form (uncorrected)**: 1.43 eV/atom
**Total DFT energy (no corrections)**: -3.65 eV/atom
**Calculated density**: 7.573 g/cm3

---

> Number 5 is which compound?

P2OsCl